Entry from Alexandria: crystalline La2PrPuN4 at its relaxed geometry (PBE).

Cell lengths 6.3089, 3.6571, 6.3392 Å; angles 90.00, 109.21, 90.00 degrees
Closest atoms and distances in Å follow each position.
Space group P2/m (No. 10)
Inequivalent atoms, fractional coordinates:
La 0.0000 0.0000 0.0000 x1  6 N 2.70-2.73
La 0.5000 0.5000 0.0000 x1  6 N 2.59-2.60
Pr 0.0000 0.5000 0.5000 x1  6 N 2.57-2.59
Pu 0.5000 0.0000 0.5000 x1  6 N 2.42-2.48
N 0.2636 0.0000 0.7337 x2  1 Pu 2.42, 2 Pr 2.59, 2 La 2.60
N 0.2710 0.5000 0.2729 x2  2 Pu 2.48, 1 Pr 2.57, 3 La 2.59-2.70

Formation energy without anion corrections (eV/f.u.): -10.2
Uncorrected energy (eV/atom): -9.05
Crystal system: monoclinic